The following is a DFT calculation (GGA-PBE) of a relaxed KRbFe2Se4 crystal.

POSCAR file:
```
KRbFe2Se4
1.0
3.658 -5.873 0.000
3.658 5.873 0.000
-2.145 0.000 5.180
K Rb Fe Se
1 1 2 4
Cartesian
0.000 0.000 0.000
2.586 -2.627 2.590
2.586 1.623 2.590
3.658 1.585 0.000
1.928 2.942 0.793
0.822 0.293 3.372
3.245 2.942 4.387
4.351 0.293 1.808
```

Computed properties:
space group: No. 5
crystal system: monoclinic
electronic total energy: -37.91 eV for the cell shown
total magnetization: 5.77 μB/f.u.

---

The following is a DFT calculation (GGA-PBE) of a relaxed YNpCo crystal.

POSCAR file:
```
YNpCo
1.0
0.000 3.266 3.266
3.266 0.000 3.266
3.266 3.266 0.000
Y Np Co
1 1 1
Cartesian
0.000 0.000 0.000
3.266 3.266 3.266
4.900 4.900 4.900
```

Computed properties:
space group: No. 216
crystal system: cubic
polymorph energy (0 for the lowest one): 0.000 eV per formula unit
electronic total energy: -24.20 eV for the cell shown
total magnetization: 0.34 μB/f.u.
formation enthalpy at 0 K: 2.1 eV per formula unit

---

The following is a DFT calculation (GGA-PBE) of a relaxed HfZrMo2 crystal.

POSCAR file:
```
HfZrMo2
1.0
0.000 3.321 3.321
3.321 0.000 3.321
3.321 3.321 0.000
Hf Zr Mo
1 1 2
Cartesian
0.000 0.000 0.000
4.982 4.982 4.982
1.661 1.661 1.661
3.321 3.321 3.321
```

Computed properties:
space group: No. 216
crystal system: cubic
electronic total energy: -39.87 eV for the cell shown
total magnetization: 0.01 μB/f.u.
formation enthalpy at 0 K: 0.3 eV per formula unit

---

The following is a DFT calculation (GGA-PBE) of a relaxed BaGaSnPd2 crystal.

POSCAR file:
```
BaGaSnPd2
1.0
4.716 0.000 0.000
0.000 4.716 0.000
0.000 0.000 10.646
Ba Ga Sn Pd
2 2 2 4
Cartesian
1.179 1.179 2.603
3.537 3.537 8.043
1.179 3.537 0.000
3.537 1.179 0.000
1.179 1.179 6.659
3.537 3.537 3.987
1.179 1.179 9.482
1.179 3.537 5.323
3.537 1.179 5.323
3.537 3.537 1.164
```

Computed properties:
space group: No. 129
crystal system: tetragonal
polymorph energy (0 for the lowest one): 0.049 eV per formula unit
electronic total energy: -45.46 eV for the cell shown

---

The following is a DFT calculation (GGA-PBE) of a relaxed RbPaB crystal.

POSCAR file:
```
RbPaB
1.0
0.000 3.287 3.287
3.287 0.000 3.287
3.287 3.287 0.000
Rb Pa B
1 1 1
Cartesian
0.000 0.000 0.000
3.287 3.287 3.287
4.930 4.930 4.930
```

Computed properties:
space group: No. 216
crystal system: cubic
polymorph energy (0 for the lowest one): 0.000 eV per formula unit
electronic total energy: -12.55 eV for the cell shown
total magnetization: 0.99 μB/f.u.

---

The following is a DFT calculation (GGA-PBE) of a relaxed CoB4As crystal.

POSCAR file:
```
CoB4As
1.0
3.059 0.000 0.000
-1.530 2.649 0.000
0.000 0.000 6.455
Co B As
1 4 1
Cartesian
0.000 0.000 0.000
0.000 1.766 1.398
0.000 1.766 5.057
1.530 0.883 1.398
1.530 0.883 5.057
0.000 0.000 3.228
```

Computed properties:
space group: No. 191
crystal system: hexagonal
polymorph energy (0 for the lowest one): 0.000 eV per formula unit
electronic total energy: -35.99 eV for the cell shown
total magnetization: 0.00 μB/f.u.